# RbMnNi2F (GGA+U, relaxed)
data_RbMnNi2F
_chemical_formula_sum 'Rb1 Mn1 Ni2 F1'
_symmetry_space_group_name_H-M 'P 4/m m m'
_symmetry_Int_Tables_number 123
_symmetry_space_group_name_Hall '-P 4 2'
_cell_length_a 4.982
_cell_length_b 4.982
_cell_length_c 4.707
_cell_angle_alpha 90.00
_cell_angle_beta 90.00
_cell_angle_gamma 90.00
loop_
_atom_site_label
_atom_site_type_symbol
_atom_site_fract_x
_atom_site_fract_y
_atom_site_fract_z
_atom_site_occupancy
Rb1 Rb 0.000 0.000 0.000 1
Mn1 Mn 0.500 0.500 0.500 1
Ni1 Ni 0.000 0.500 0.500 1
F1 F 0.500 0.500 0.000 1
# spin magnetization = 6.92 μB/cell
# final energy = -2.8813 eV/atom